# 1
## ReW3 (meta-GGA SCAN)

Data for a PBEsol-optimized structure of ReW3.

The space group is P2/m (No. 10) and the conventional cell measures 2.719, 4.427 and 5.199 Å, with angles of 90.00, 100.13 and 90.00 degrees. The inequivalent atoms are Re at (0.000, 0.000, 0.000), W at (0.253, 0.500, 0.750) and W at (0.500, 0.000, 0.500).

The value obtained for the volume is 15.4 Å³/atom. The calculation puts the formation energy at 0.025 eV per atom. The calculation puts the polymorph energy (0 for the lowest one) at 0.016 eV/atom.

---

# 2
## CsRbAs2Br (meta-GGA SCAN)

Data for a PBEsol-optimized structure of CsRbAs2Br.

The space group is P4/mmm (No. 123) and the conventional cell measures 6.422, 6.422 and 6.331 Å, with angles of 90.00, 90.00 and 90.00 degrees. The inequivalent atoms are Cs at (0.000, 0.000, 0.000), Rb at (0.500, 0.500, 0.500), As at (0.000, 0.500, 0.500) and Br at (0.500, 0.500, 0.000).

The value obtained for the volume is 52.2 Å³/atom.

---

# 3
## TmIr2 (meta-GGA SCAN)

Data for a PBEsol-optimized structure of TmIr2.

The space group is Fd-3m (No. 227, origin choice 2) and the conventional cell measures 7.443, 7.443 and 7.443 Å, with angles of 90.00, 90.00 and 90.00 degrees. The inequivalent atoms are Tm at (0.125, 0.125, 0.125) and Ir at (0.000, 0.000, 0.500).

The value obtained for the volume is 17.2 Å³/atom. The calculation puts the formation energy at -1.015 eV per atom.

---

# 4
## Rb3DyP2O8 (meta-GGA SCAN)

Data for a PBEsol-optimized structure of Rb3DyP2O8.

The space group is P-3m1 (No. 164) and the conventional cell measures 5.6940, 5.6940 and 7.9977 Å, with angles of 90.00, 90.00 and 120.00 degrees. The inequivalent atoms are Rb at (0.0000, 0.0000, 0.0000), Rb at (0.3333, 0.6667, 0.7446), Dy at (0.0000, 0.0000, 0.5000), P at (0.3333, 0.6667, 0.2709), O at (0.1849, 0.3698, 0.3394) and O at (0.3333, 0.6667, 0.0809).

The value obtained for the volume is 16.0 Å³/atom.

---

# 5
## Sc2CdAg2 (meta-GGA SCAN)

Data for a PBEsol-optimized structure of Sc2CdAg2.

The space group is I4/mmm (No. 139) and the conventional cell measures 3.699, 3.699 and 15.584 Å, with angles of 90.00, 90.00 and 90.00 degrees. The inequivalent atoms are Sc at (0.000, 0.000, 0.104), Cd at (0.000, 0.000, 0.500) and Ag at (0.000, 0.500, 0.250).

The value obtained for the volume is 21.3 Å³/atom. The calculation puts the formation energy at -0.010 eV per atom.

---

# 6
## Mn2CuSnHg (meta-GGA SCAN)

Data for a PBEsol-optimized structure of Mn2CuSnHg.

The space group is P4/mmm (No. 123) and the conventional cell measures 4.936, 4.936 and 4.726 Å, with angles of 90.00, 90.00 and 90.00 degrees. The inequivalent atoms are Mn at (0.000, 0.500, 0.000), Cu at (0.000, 0.000, 0.500), Sn at (0.500, 0.500, 0.500) and Hg at (0.000, 0.000, 0.000).

The value obtained for the volume is 23.0 Å³/atom. The calculation puts the formation energy at 0.637 eV per atom.

---

# 7
## CrMoI3 (meta-GGA SCAN)

Data for a PBEsol-optimized structure of CrMoI3.

The space group is Pm-3m (No. 221) and the conventional cell measures 5.423, 5.423 and 5.423 Å, with angles of 90.00, 90.00 and 90.00 degrees. The inequivalent atoms are Cr at (0.000, 0.000, 0.000), Mo at (0.500, 0.500, 0.500) and I at (0.000, 0.000, 0.500).

The value obtained for the volume is 31.9 Å³/atom.

---

# 8
## MoP2Au (meta-GGA SCAN)

Data for a PBEsol-optimized structure of MoP2Au.

The space group is F-43m (No. 216) and the conventional cell measures 6.233, 6.233 and 6.233 Å, with angles of 90.00, 90.00 and 90.00 degrees. The inequivalent atoms are Mo at (0.000, 0.000, 0.000), P at (0.000, 0.000, 0.500), P at (0.250, 0.250, 0.750) and Au at (0.250, 0.250, 0.250).

The value obtained for the volume is 15.1 Å³/atom. The calculation puts the formation energy at 0.734 eV per atom. The calculation puts the polymorph energy (0 for the lowest one) at 0.346 eV/atom.

---

Number 1: total DFT energy (no corrections) -280.061 eV/cell. Number 2: total DFT energy (no corrections) -118.038 eV/cell. Number 3: total DFT energy (no corrections) -1576.589 eV/cell. Number 4: total DFT energy (no corrections) -220.544 eV/cell. Number 5: total DFT energy (no corrections) -243.343 eV/cell. Number 6: total DFT energy (no corrections) -152.611 eV/cell. Number 7: total DFT energy (no corrections) -160.904 eV/cell. Number 8: total DFT energy (no corrections) -487.622 eV/cell.